1.
{
  "formula": "MnSn3Pt12",
  "functional": "PBE",
  "state": "optimized geometry",
  "cell": [[4.027, 0.000, 0.000], [0.000, 4.027, 0.000], [0.000, 0.000, 16.125]],
  "species": ["Mn", "Sn", "Sn", "Sn", "Pt", "Pt", "Pt", "Pt", "Pt", "Pt", "Pt", "Pt", "Pt", "Pt", "Pt", "Pt"],
  "frac_coords": [[0.000, 0.000, 0.000], [0.000, 0.000, 0.243], [0.000, 0.000, 0.500], [0.000, 0.000, 0.757], [0.000, 0.500, 0.118], [0.000, 0.500, 0.373], [0.000, 0.500, 0.627], [0.000, 0.500, 0.882], [0.500, 0.000, 0.118], [0.500, 0.000, 0.373], [0.500, 0.000, 0.627], [0.500, 0.000, 0.882], [0.500, 0.500, 0.000], [0.500, 0.500, 0.248], [0.500, 0.500, 0.500], [0.500, 0.500, 0.752]],
  "formation_energy_ev_per_atom": -0.38
}

2.
{
  "formula": "Sr2MnSn3Pt4",
  "functional": "PBE",
  "state": "optimized geometry",
  "cell": [[4.578, 0.000, 0.000], [0.000, 4.578, 0.000], [0.000, 0.000, 10.973]],
  "species": ["Sr", "Sr", "Mn", "Sn", "Sn", "Sn", "Pt", "Pt", "Pt", "Pt"],
  "frac_coords": [[0.000, 0.500, 0.249], [0.500, 0.000, 0.751], [0.000, 0.000, 0.500], [0.000, 0.500, 0.872], [0.500, 0.000, 0.128], [0.500, 0.500, 0.500], [0.000, 0.000, 0.000], [0.000, 0.500, 0.629], [0.500, 0.000, 0.371], [0.500, 0.500, 0.000]],
  "formation_energy_ev_per_atom": -0.70
}

3.
{
  "formula": "MnSnTe2Pt",
  "functional": "PBE",
  "state": "optimized geometry",
  "cell": [[5.765, 0.000, 0.000], [0.000, 5.765, 0.000], [0.000, 0.000, 4.993]],
  "species": ["Mn", "Sn", "Te", "Te", "Pt"],
  "frac_coords": [[0.000, 0.000, 0.000], [0.500, 0.500, 0.500], [0.000, 0.500, 0.500], [0.500, 0.000, 0.500], [0.500, 0.500, 0.000]]
}

4.
{
  "formula": "MnSnPtW2",
  "functional": "PBE",
  "state": "optimized geometry",
  "cell": [[4.535, 0.000, 0.000], [0.000, 4.535, 0.000], [0.000, 0.000, 4.824]],
  "species": ["Mn", "Sn", "Pt", "W", "W"],
  "frac_coords": [[0.000, 0.000, 0.000], [0.500, 0.500, 0.500], [0.000, 0.000, 0.500], [0.000, 0.500, 0.000], [0.500, 0.000, 0.000]],
  "formation_energy_ev_per_atom": 1.19
}

5.
{
  "formula": "Sr2MnPt",
  "functional": "PBE",
  "state": "optimized geometry",
  "cell": [[4.384, 0.000, 0.000], [0.000, 2.323, 5.849], [0.000, -2.323, 5.849]],
  "species": ["Sr", "Sr", "Mn", "Pt"],
  "frac_coords": [[0.000, 0.000, 0.000], [0.500, 0.283, 0.283], [0.000, 0.693, 0.693], [0.500, 0.580, 0.580]],
  "formation_energy_ev_per_atom": -0.25
}

6.
{
  "formula": "SrMn2Pt",
  "functional": "PBE",
  "state": "optimized geometry",
  "cell": [[3.079, 0.000, 0.000], [0.000, 4.415, 0.000], [-1.440, 0.000, 6.087]],
  "species": ["Sr", "Mn", "Mn", "Pt"],
  "frac_coords": [[0.000, 0.000, 0.000], [0.299, 0.500, 0.682], [0.701, 0.500, 0.318], [0.500, 0.000, 0.500]],
  "formation_energy_ev_per_atom": 0.24
}

7.
{
  "formula": "SrMnPt3",
  "functional": "PBE",
  "state": "optimized geometry",
  "cell": [[4.708, 0.000, 0.000], [0.000, 4.708, 0.000], [0.000, 0.000, 4.708]],
  "species": ["Sr", "Mn", "Pt", "Pt", "Pt"],
  "frac_coords": [[0.000, 0.000, 0.000], [0.500, 0.500, 0.500], [0.000, 0.500, 0.500], [0.500, 0.000, 0.500], [0.500, 0.500, 0.000]],
  "formation_energy_ev_per_atom": 0.08,
  "e_above_lowest_polymorph_kj_per_mol_atoms": 0.00
}

8.
{
  "formula": "SrMn2Pt",
  "functional": "PBE",
  "state": "optimized geometry",
  "cell": [[3.317, 0.000, 0.000], [0.000, 3.437, 0.000], [0.000, 0.000, 7.541]],
  "species": ["Sr", "Mn", "Mn", "Pt"],
  "frac_coords": [[0.000, 0.000, 0.000], [0.500, 0.500, 0.324], [0.500, 0.500, 0.676], [0.000, 0.000, 0.500]],
  "formation_energy_ev_per_atom": 0.20
}

9.
{
  "formula": "SrMn2Pt",
  "functional": "PBE",
  "state": "optimized geometry",
  "cell": [[2.229, 1.287, 5.582], [-2.229, 1.287, 5.582], [0.000, -2.574, 5.582]],
  "species": ["Sr", "Mn", "Mn", "Pt"],
  "frac_coords": [[0.000, 0.000, 0.000], [0.531, 0.531, 0.531], [0.809, 0.809, 0.809], [0.187, 0.187, 0.187]],
  "formation_energy_ev_per_atom": -0.03
}

10.
{
  "formula": "Sr2MnPt",
  "functional": "PBE",
  "state": "optimized geometry",
  "cell": [[0.000, 3.668, 3.668], [3.668, 0.000, 3.668], [3.668, 3.668, 0.000]],
  "species": ["Sr", "Sr", "Mn", "Pt"],
  "frac_coords": [[0.000, 0.000, 0.000], [0.250, 0.250, 0.250], [0.500, 0.500, 0.500], [0.750, 0.750, 0.750]],
  "formation_energy_ev_per_atom": 0.13
}

11.
{
  "formula": "SrMn2Pt2",
  "functional": "PBE",
  "state": "optimized geometry",
  "cell": [[7.891, 0.000, 0.000], [0.000, 7.891, 0.000], [0.000, 0.000, 2.933]],
  "species": ["Sr", "Sr", "Mn", "Mn", "Mn", "Mn", "Pt", "Pt", "Pt", "Pt"],
  "frac_coords": [[0.000, 0.000, 0.000], [0.500, 0.500, 0.000], [0.125, 0.375, 0.000], [0.375, 0.875, 0.000], [0.625, 0.125, 0.000], [0.875, 0.625, 0.000], [0.167, 0.667, 0.500], [0.333, 0.167, 0.500], [0.667, 0.833, 0.500], [0.833, 0.333, 0.500]],
  "formation_energy_ev_per_atom": -0.30
}

12.
{
  "formula": "SrMn2Pt",
  "functional": "PBE",
  "state": "optimized geometry",
  "cell": [[-1.669, 2.525, 5.055], [1.669, -2.525, 5.055], [1.669, 2.525, -5.055]],
  "species": ["Sr", "Mn", "Mn", "Pt"],
  "frac_coords": [[0.000, 0.000, 0.000], [0.293, 0.793, 0.500], [0.707, 0.207, 0.500], [0.500, 0.500, 0.000]],
  "formation_energy_ev_per_atom": 0.16
}

13.
{
  "formula": "SrMn3Pt",
  "functional": "PBE",
  "state": "optimized geometry",
  "cell": [[4.731, 0.000, 0.000], [0.000, 4.731, 0.000], [0.000, 0.000, 4.731]],
  "species": ["Sr", "Mn", "Mn", "Mn", "Pt"],
  "frac_coords": [[0.000, 0.000, 0.000], [0.000, 0.000, 0.500], [0.000, 0.500, 0.000], [0.500, 0.000, 0.000], [0.500, 0.500, 0.500]],
  "formation_energy_ev_per_atom": 2.07,
  "e_above_lowest_polymorph_kj_per_mol_atoms": 163.73
}

14.
{
  "formula": "SrMn2Pt",
  "functional": "PBE",
  "state": "optimized geometry",
  "cell": [[-1.795, 2.117, 6.078], [1.795, -2.117, 6.078], [1.795, 2.117, -6.078]],
  "species": ["Sr", "Mn", "Mn", "Pt"],
  "frac_coords": [[0.000, 0.000, 0.000], [0.280, 0.780, 0.500], [0.640, 0.640, 0.000], [0.784, 0.284, 0.500]],
  "formation_energy_ev_per_atom": 0.19
}

15.
{
  "formula": "SrMn2Pt",
  "functional": "PBE",
  "state": "optimized geometry",
  "cell": [[4.190, 0.000, 0.000], [0.000, 4.190, 0.000], [0.000, 0.000, 4.455]],
  "species": ["Sr", "Mn", "Mn", "Pt"],
  "frac_coords": [[0.000, 0.000, 0.000], [0.000, 0.500, 0.500], [0.500, 0.000, 0.500], [0.500, 0.500, 0.000]],
  "formation_energy_ev_per_atom": 0.25
}

16.
{
  "formula": "SrMn2Pt",
  "functional": "PBE",
  "state": "optimized geometry",
  "cell": [[-2.409, 2.409, 3.535], [2.409, -2.409, 3.535], [2.409, 2.409, -3.535]],
  "species": ["Sr", "Mn", "Mn", "Pt"],
  "frac_coords": [[0.000, 0.000, 0.000], [0.250, 0.750, 0.500], [0.500, 0.500, 0.000], [0.750, 0.250, 0.500]],
  "formation_energy_ev_per_atom": 0.31
}

17.
{
  "formula": "SrMn2Pt",
  "functional": "PBE",
  "state": "optimized geometry",
  "cell": [[0.000, 3.385, 3.385], [3.385, 0.000, 3.385], [3.385, 3.385, 0.000]],
  "species": ["Sr", "Mn", "Mn", "Pt"],
  "frac_coords": [[0.000, 0.000, 0.000], [0.250, 0.250, 0.250], [0.750, 0.750, 0.750], [0.500, 0.500, 0.500]],
  "formation_energy_ev_per_atom": 0.24
}

18.
{
  "formula": "SrMn2Pt",
  "functional": "PBE",
  "state": "optimized geometry",
  "cell": [[-2.402, 2.402, 8.853], [2.402, -2.402, 8.853], [2.402, 2.402, -8.853]],
  "species": ["Sr", "Sr", "Mn", "Mn", "Mn", "Mn", "Pt", "Pt"],
  "frac_coords": [[0.375, 0.625, 0.750], [0.625, 0.375, 0.250], [0.000, 0.000, 0.000], [0.000, 0.000, 0.500], [0.000, 0.500, 0.000], [0.500, 0.000, 0.500], [0.125, 0.875, 0.250], [0.875, 0.125, 0.750]],
  "formation_energy_ev_per_atom": 0.28
}

19.
{
  "formula": "SrMn2Pt",
  "functional": "PBE",
  "state": "optimized geometry",
  "cell": [[3.458, 0.000, 0.000], [0.000, 3.458, 0.000], [0.000, 0.000, 7.039]],
  "species": ["Sr", "Mn", "Mn", "Pt"],
  "frac_coords": [[0.000, 0.000, 0.000], [0.000, 0.000, 0.534], [0.500, 0.500, 0.333], [0.500, 0.500, 0.702]],
  "formation_energy_ev_per_atom": 0.13
}

20.
{
  "formula": "Sr2MnPt",
  "functional": "PBE",
  "state": "optimized geometry",
  "cell": [[-5.576, 5.576, 2.493], [5.576, -5.576, 2.493], [5.576, 5.576, -2.493]],
  "species": ["Sr", "Sr", "Sr", "Sr", "Mn", "Mn", "Pt", "Pt"],
  "frac_coords": [[0.375, 0.208, 0.333], [0.792, 0.125, 0.167], [0.875, 0.042, 0.667], [0.958, 0.625, 0.833], [0.250, 0.750, 0.500], [0.500, 0.500, 0.000], [0.000, 0.000, 0.000], [0.750, 0.250, 0.500]],
  "formation_energy_ev_per_atom": -0.07
}

21.
{
  "formula": "Sr2MnPt2",
  "functional": "PBE",
  "state": "optimized geometry",
  "cell": [[7.205, 0.000, 0.000], [0.000, 7.205, 0.000], [0.000, 0.000, 4.654]],
  "species": ["Sr", "Sr", "Sr", "Sr", "Mn", "Mn", "Pt", "Pt", "Pt", "Pt"],
  "frac_coords": [[0.173, 0.327, 0.000], [0.327, 0.827, 0.000], [0.673, 0.173, 0.000], [0.827, 0.673, 0.000], [0.000, 0.000, 0.500], [0.500, 0.500, 0.500], [0.136, 0.636, 0.500], [0.364, 0.136, 0.500], [0.636, 0.864, 0.500], [0.864, 0.364, 0.500]],
  "formation_energy_ev_per_atom": -0.45
}

22.
{
  "formula": "Sr2MnPt",
  "functional": "PBE",
  "state": "optimized geometry",
  "cell": [[3.659, -2.099, 0.000], [3.659, 2.099, 0.000], [-2.396, 0.000, 8.620]],
  "species": ["Sr", "Sr", "Mn", "Pt"],
  "frac_coords": [[0.234, 0.234, 0.204], [0.766, 0.766, 0.796], [0.000, 0.000, 0.500], [0.500, 0.500, 0.000]],
  "formation_energy_ev_per_atom": 0.10
}

23.
{
  "formula": "SrMn2Pt",
  "functional": "PBE",
  "state": "optimized geometry",
  "cell": [[2.212, 1.277, 5.432], [-2.212, 1.277, 5.432], [0.000, -2.554, 5.432]],
  "species": ["Sr", "Mn", "Mn", "Pt"],
  "frac_coords": [[0.000, 0.000, 0.000], [0.200, 0.200, 0.200], [0.800, 0.800, 0.800], [0.500, 0.500, 0.500]],
  "formation_energy_ev_per_atom": -0.04
}

24.
{
  "formula": "SrMn2Pt",
  "functional": "PBE",
  "state": "optimized geometry",
  "cell": [[2.938, -5.030, 0.000], [2.938, 5.030, 0.000], [-1.419, 0.000, 2.653]],
  "species": ["Sr", "Mn", "Mn", "Pt"],
  "frac_coords": [[0.000, 0.000, 0.000], [0.000, 0.500, 0.500], [0.500, 0.000, 0.500], [0.500, 0.500, 0.000]],
  "formation_energy_ev_per_atom": 0.40
}

25.
{
  "formula": "SrMnPt4",
  "functional": "PBE",
  "state": "optimized geometry",
  "cell": [[0.000, 3.834, 3.834], [3.834, 0.000, 3.834], [3.834, 3.834, 0.000]],
  "species": ["Sr", "Mn", "Pt", "Pt", "Pt", "Pt"],
  "frac_coords": [[0.000, 0.000, 0.000], [0.750, 0.750, 0.750], [0.376, 0.376, 0.376], [0.376, 0.376, 0.873], [0.376, 0.873, 0.376], [0.873, 0.376, 0.376]],
  "formation_energy_ev_per_atom": -0.44
}

26.
{
  "formula": "SrMn3Pt",
  "functional": "PBE",
  "state": "optimized geometry",
  "cell": [[4.987, 0.000, 0.000], [0.000, 4.987, 0.000], [0.000, 0.000, 4.987]],
  "species": ["Sr", "Mn", "Mn", "Mn", "Pt"],
  "frac_coords": [[0.000, 0.000, 0.000], [0.000, 0.500, 0.500], [0.500, 0.000, 0.500], [0.500, 0.500, 0.000], [0.500, 0.500, 0.500]],
  "formation_energy_ev_per_atom": 0.37,
  "e_above_lowest_polymorph_kj_per_mol_atoms": 0.00
}

27.
{
  "formula": "Sr2MnPt",
  "functional": "PBE",
  "state": "optimized geometry",
  "cell": [[3.655, 0.000, 0.000], [0.000, 3.655, 0.000], [0.000, 0.000, 8.860]],
  "species": ["Sr", "Sr", "Mn", "Pt"],
  "frac_coords": [[0.000, 0.000, 0.000], [0.500, 0.500, 0.407], [0.000, 0.000, 0.662], [0.500, 0.500, 0.760]],
  "formation_energy_ev_per_atom": -0.10
}

28.
{
  "formula": "SrMnPt3",
  "functional": "PBE",
  "state": "optimized geometry",
  "cell": [[5.181, 0.000, 0.000], [0.000, 5.181, 0.000], [0.000, 0.000, 5.181]],
  "species": ["Sr", "Mn", "Pt", "Pt", "Pt"],
  "frac_coords": [[0.000, 0.000, 0.000], [0.500, 0.500, 0.500], [0.000, 0.000, 0.500], [0.000, 0.500, 0.000], [0.500, 0.000, 0.000]],
  "formation_energy_ev_per_atom": 1.56,
  "e_above_lowest_polymorph_kj_per_mol_atoms": 142.56
}

Number 1: V 262 Å³ per cell, uncorrected energy -6.236 eV per atom. Number 2: V 230 Å³ per cell, uncorrected energy -5.566 eV per atom. Number 3: V 166 Å³ per cell, uncorrected energy -4.251 eV per atom. Number 4: V 99 Å³ per cell, uncorrected energy -7.834 eV per atom. Number 5: V 119 Å³ per cell, uncorrected energy -4.894 eV per atom. Number 6: V 83 Å³ per cell, uncorrected energy -6.278 eV per atom. Number 7: V 104 Å³ per cell, uncorrected energy -5.712 eV per atom. Number 8: V 86 Å³ per cell, uncorrected energy -6.317 eV per atom. Number 9: V 96 Å³ per cell, uncorrected energy -6.544 eV per atom. Number 10: V 99 Å³ per cell, uncorrected energy -4.517 eV per atom. Number 11: V 183 Å³ per cell, uncorrected energy -6.716 eV per atom. Number 12: V 85 Å³ per cell, uncorrected energy -6.353 eV per atom. Number 13: V 106 Å³ per cell, uncorrected energy -4.980 eV per atom. Number 14: V 92 Å³ per cell, uncorrected energy -6.330 eV per atom. Number 15: V 78 Å³ per cell, uncorrected energy -6.262 eV per atom. Number 16: V 82 Å³ per cell, uncorrected energy -6.203 eV per atom. Number 17: V 78 Å³ per cell, uncorrected energy -6.278 eV per atom. Number 18: V 204 Å³ per cell, uncorrected energy -6.231 eV per atom. Number 19: V 84 Å³ per cell, uncorrected energy -6.388 eV per atom. Number 20: V 310 Å³ per cell, uncorrected energy -4.717 eV per atom. Number 21: V 242 Å³ per cell, uncorrected energy -5.374 eV per atom. Number 22: V 132 Å³ per cell, uncorrected energy -4.541 eV per atom. Number 23: V 92 Å³ per cell, uncorrected energy -6.551 eV per atom. Number 24: V 78 Å³ per cell, uncorrected energy -6.115 eV per atom. Number 25: V 113 Å³ per cell, uncorrected energy -6.273 eV per atom. Number 26: V 124 Å³ per cell, uncorrected energy -6.677 eV per atom. Number 27: V 118 Å³ per cell, uncorrected energy -4.748 eV per atom. Number 28: V 139 Å³ per cell, uncorrected energy -4.234 eV per atom.